Run one
The following is a GGA-PBE calculation of crystalline BaHgIN2 at its relaxed geometry, from Alexandria via LeMat-Bulk.

Geometry as extended XYZ:
```
5
Lattice="5.5914 0.0000 0.0000 0.0000 5.5914 0.0000 0.0000 0.0000 6.8530" Properties=species:S:1:pos:R:3 pbc="T T T"
Ba 0.0000 0.0000 0.0000
N 0.0000 2.7957 0.0000
I 0.0000 0.0000 3.4265
N 2.7957 0.0000 0.0000
Hg 2.7957 2.7957 3.4265
```

## Properties
ρ   3.8 Mg/m³
Crystal system   tetragonal
Magnetization   4.85 μB per formula unit
V   214.3 Å³/cell

=====

Run two
The following is a GGA-PBE calculation of crystalline BaHgIN2 at its relaxed geometry, from Alexandria via LeMat-Bulk.

Geometry as extended XYZ:
```
5
Lattice="-4.3288 1.5316 -1.0906 0.0321 -2.6768 -3.8868 -2.3832 -4.5288 3.0993" Properties=species:S:1:pos:R:3 pbc="T T T"
Ba -3.3400 -2.8370 -0.9390
Hg 0.0000 0.0000 0.0000
N -2.1644 0.7658 -0.5453
N 0.0160 -1.3384 -1.9434
I -1.1916 -2.2644 1.5496
```

## Properties
ρ   6.1 Mg/m³
Crystal system   tetragonal
Magnetization   2.51 μB per formula unit
V   133.3 Å³/cell

=====

Pick the most stable structure from those above. Pick: run two